Entry from Alexandria: a geometry-optimized Ag2RhPb structure (PBE).

abc: 4.030 4.047 4.560
angles: 90.00 90.00 90.00
Positions (direct):
1 Ag 0.000 0.000 0.000
2 Ag 0.500 0.500 0.000
3 Rh 0.000 0.500 0.500
4 Pb 0.500 0.000 0.500

Its space group is No. 47. The value obtained for the final energy is -4.074 eV per atom. As for the density of states at the Fermi level: 0.575 states/eV per atom.


Entry from Alexandria: a geometry-optimized Pm6BiTe3Se2 structure (PBE).

abc: 9.872 9.872 8.838
angles: 103.71 103.71 25.68
Positions (direct):
1 Pm 0.011 0.011 0.256
2 Pm 0.326 0.326 0.433
3 Pm 0.330 0.330 0.890
4 Pm 0.670 0.670 0.110
5 Pm 0.674 0.674 0.567
6 Pm 0.989 0.989 0.744
7 Bi 0.500 0.500 0.000
8 Te 0.162 0.162 0.833
9 Te 0.500 0.500 0.500
10 Te 0.838 0.838 0.167
11 Se 0.169 0.169 0.337
12 Se 0.831 0.831 0.663

Its space group is No. 12. The value obtained for the final energy is -5.538 eV per atom. As for the density of states at the Fermi level: 0.439 states/eV per atom.


Entry from Alexandria: a geometry-optimized Pm8TmSb6 structure (PBE).

abc: 9.771 9.771 9.771
angles: 49.13 49.13 49.13
Positions (direct):
1 Pm 0.038 0.381 0.717
2 Pm 0.167 0.167 0.167
3 Pm 0.283 0.962 0.619
4 Pm 0.381 0.717 0.038
5 Pm 0.619 0.283 0.962
6 Pm 0.717 0.038 0.381
7 Pm 0.833 0.833 0.833
8 Pm 0.962 0.619 0.283
9 Tm 0.500 0.500 0.500
10 Sb 0.109 0.761 0.433
11 Sb 0.239 0.567 0.891
12 Sb 0.433 0.109 0.761
13 Sb 0.567 0.891 0.239
14 Sb 0.761 0.433 0.109
15 Sb 0.891 0.239 0.567

Its space group is No. 148. The value obtained for the final energy is -5.278 eV per atom. As for the density of states at the Fermi level: 1.004 states/eV per atom.